Record 1
Here is a geometry-optimized AlCr2Co structure from the Alexandria database. Energies are from PBE-GGA.

```
AlCr2Co
1.0
4.640 -0.011 0.000
-2.201 4.085 0.000
0.000 0.000 2.509
Cr Co Al
2 1 1
Direct
0.000 0.000 0.000
0.500 0.500 0.000
0.000 0.500 0.500
0.500 0.000 0.500
```

Properties
DFT formation energy: 0.02 eV/atom
DOS(E_F): 4.10 states/eV per cell
Calculated volume: 11.875 Å³/atom
Space-group type: Cmmm

=====

Record 2
Here is a geometry-optimized RbCa2PtF structure from the Alexandria database. Energies are from PBE-GGA.

```
RbCa2PtF
1.0
-1.775 -4.242 -3.889
-1.615 -2.423 3.381
-5.326 2.753 -0.571
Ca Rb Pt F
2 1 1 1
Direct
0.000 0.000 0.500
0.500 0.000 0.000
0.000 0.000 0.000
0.500 0.500 0.500
0.000 0.500 0.000
```

Properties
DOS(E_F): 2.69 states/eV per cell
Calculated volume: 32.372 Å³/atom
Space-group type: P4/mmm

=====

Record 3
Here is a geometry-optimized SmDy8Ho4 structure from the Alexandria database. Energies are from PBE-GGA.

```
SmDy8Ho4
1.0
-1.038 -7.016 1.575
6.583 2.340 -1.994
0.534 5.538 8.264
Sm Dy Ho
1 8 4
Direct
0.000 0.500 0.500
0.565 0.782 0.347
0.435 0.218 0.653
0.499 0.250 0.303
0.946 0.196 0.697
0.501 0.750 0.697
0.946 0.750 0.697
0.054 0.250 0.303
0.054 0.804 0.303
0.000 0.000 0.000
0.000 0.500 0.000
0.500 0.500 0.000
0.500 0.000 0.000
```

Properties
DFT formation energy: 0.20 eV/atom
DOS(E_F): 14.46 states/eV per cell
Calculated volume: 31.775 Å³/atom
Space-group type: R-3m

=====

| no. | calculated density (g/cm3) | calculated total energy (eV per atom) |
| --- | --- | --- |
| 1 | 6.64 | -7.503 |
| 2 | 3.90 | -2.647 |
| 3 | 8.48 | -4.401 |